Record 1
Compound: KCa4Si8H16O28F
Source: Alexandria
Functional: GGA-PBE
Structure: relaxed

Properties
M_tot (μB/cell): 0.00
E_tot (eV/atom): -6.416
ρ (g cm⁻³): 2.3

abc: 9.042 9.042 15.992
angles: 90.00 90.00 90.00
Space group P4/mnc (No. 128)
Unique sites:
K  0.000  0.000  0.000 x2
Ca  0.110  0.248  0.500 x8
Si  0.087  0.773  0.311 x16
H  0.055  0.670  0.088 x16
H  0.071  0.277  0.148 x16
O  0.048  0.287  0.089 x16
O  0.085  0.190  0.283 x16
O  0.103  0.734  0.409 x16
O  0.136  0.636  0.250 x8
F  0.000  0.000  0.500 x2

---

Record 2
Compound: CaLaH2F
Source: Alexandria
Functional: GGA-PBE
Structure: relaxed

Properties
M_tot (μB/cell): 0.00
E_tot (eV/atom): -4.174
ρ (g cm⁻³): 3.2

abc: 4.669 4.669 4.687
angles: 90.00 90.00 90.00
Space group P4/mmm (No. 123)
Unique sites:
Ca  0.000  0.000  0.000 x1
La  0.500  0.500  0.500 x1
H  0.000  0.500  0.500 x2
F  0.500  0.500  0.000 x1

---

Record 3
Compound: LiCaH2SeF
Source: Alexandria
Functional: GGA-PBE
Structure: relaxed

Properties
M_tot (μB/cell): 0.00
E_tot (eV/atom): -4.204
ρ (g cm⁻³): 2.4

abc: 5.003 4.597 5.095
angles: 90.00 119.10 90.00
Space group Pm (No. 6)
Unique sites:
Li  0.000  0.000  0.000 x1
Ca  0.210  0.500  0.711 x1
H  0.487  0.000  0.448 x1
H  0.555  0.000  0.344 x1
Se  0.874  0.500  0.059 x1
F  0.182  0.000  0.754 x1

---

Record 4
Compound: LiCaH2SeF
Source: Alexandria
Functional: GGA-PBE
Structure: relaxed

Properties
M_tot (μB/cell): 0.00
E_tot (eV/atom): -4.180
ρ (g cm⁻³): 2.5

abc: 4.201 3.860 6.385
angles: 90.00 109.07 90.00
Space group Pm (No. 6)
Unique sites:
Li  0.000  0.000  0.000 x1
Ca  0.762  0.500  0.518 x1
H  0.454  0.000  0.907 x1
H  0.516  0.000  0.034 x1
Se  0.218  0.000  0.429 x1
F  0.941  0.500  0.881 x1